Entry 1:
! BaNbAg (GGA-PBE, optimized geometry); values from VASP
! Crystal system   triclinic
! Formation energy from the elements   0.323 eV per atom
&SYSTEM
  ibrav = 0, nat = 6, ntyp = 3
/
ATOMIC_SPECIES
Nb 92.91 Nb.upf
Ba 137.33 Ba.upf
Ag 107.87 Ag.upf
CELL_PARAMETERS angstrom
-1.7984 -2.5670 1.4444
7.5610 -8.3900 -5.3774
1.5258 1.0774 3.8147
ATOMIC_POSITIONS crystal
Nb 0.4393 0.9543 0.9569
Nb 0.9382 0.9760 0.4786
Ba 0.4334 0.3173 0.8192
Ba 0.4295 0.6900 0.1904
Ag 0.9311 0.5019 0.5029
Ag 0.9358 0.1530 0.1554



Entry 2:
! BaNbAg (GGA-PBE, optimized geometry); values from VASP
! Crystal system   triclinic
! Formation energy from the elements   0.419 eV per atom
&SYSTEM
  ibrav = 0, nat = 6, ntyp = 3
/
ATOMIC_SPECIES
Nb 92.91 Nb.upf
Ba 137.33 Ba.upf
Ag 107.87 Ag.upf
CELL_PARAMETERS angstrom
-1.3863 1.0230 -2.8789
-0.9252 -8.0757 -3.8229
-4.4249 1.0905 3.8454
ATOMIC_POSITIONS crystal
Nb 0.2204 0.1207 0.4085
Nb 0.5392 0.9500 0.0798
Ba 0.7838 0.3055 0.9834
Ba 0.6457 0.5764 0.6307
Ag 0.1928 0.7123 0.1904
Ag 0.8665 0.9277 0.6255



Entry 3:
! BaNbAg (GGA-PBE, optimized geometry); values from VASP
! Crystal system   orthorhombic
! Formation energy from the elements   0.432 eV per atom
&SYSTEM
  ibrav = 0, nat = 12, ntyp = 3
/
ATOMIC_SPECIES
Nb 92.91 Nb.upf
Ba 137.33 Ba.upf
Ag 107.87 Ag.upf
CELL_PARAMETERS angstrom
-4.6084 2.4562 5.9037
-2.1481 -3.9743 -0.0233
6.5010 -3.5521 6.5524
ATOMIC_POSITIONS crystal
Nb 0.0574 0.2500 0.4568
Nb 0.4426 0.7500 0.9568
Nb 0.9426 0.7500 0.5432
Nb 0.5574 0.2500 0.0432
Ba 0.0886 0.2500 0.8381
Ba 0.4114 0.7500 0.3381
Ba 0.9114 0.7500 0.1619
Ba 0.5886 0.2500 0.6619
Ag 0.7315 0.2500 0.3453
Ag 0.7685 0.7500 0.8453
Ag 0.2685 0.7500 0.6547
Ag 0.2315 0.2500 0.1547



Entry 4:
! BaNbAg (GGA-PBE, optimized geometry); values from VASP
! Crystal system   monoclinic
! Formation energy from the elements   0.403 eV per atom
&SYSTEM
  ibrav = 0, nat = 6, ntyp = 3
/
ATOMIC_SPECIES
Nb 92.91 Nb.upf
Ba 137.33 Ba.upf
Ag 107.87 Ag.upf
CELL_PARAMETERS angstrom
-2.4130 -7.4501 2.0802
1.4705 5.3991 -7.3729
4.3755 1.2087 -1.2465
ATOMIC_POSITIONS crystal
Nb 0.6462 0.3796 0.5737
Nb 0.8381 0.5456 0.0992
Ba 0.4102 0.7226 0.9945
Ba 0.0741 0.2026 0.6784
Ag 0.0660 0.8889 0.4840
Ag 0.4183 0.0363 0.1889